# 1
An optimized crystal structure of GaGePd6, computed with PBE-GGA.

a = 6.210 Å, b = 6.223 Å, c = 5.283 Å
α = 53.70°, β = 54.14°, γ = 60.06°
Positions (direct):
Ga (0.500, 0.500, 0.500)
Pd (0.523, 0.247, 0.245)
Pd (0.477, 0.753, 0.755)
Pd (0.984, 0.520, 0.248)
Pd (0.248, 0.988, 0.247)
Pd (0.752, 0.012, 0.753)
Pd (0.016, 0.480, 0.752)
Ge (0.000, 0.000, 0.000)

## Properties
* energy above the most stable polymorph in this dataset: 78.9 meV/atom
* space group: P-1
* formation energy: -265 meV/atom

# 2
An optimized crystal structure of GaGePd3, computed with PBE-GGA.

a = 4.643 Å, b = 4.643 Å, c = 4.643 Å
α = 90.00°, β = 90.00°, γ = 90.00°
Positions (direct):
Ge (0.000, 0.000, 0.000)
Pd (0.000, 0.500, 0.000)
Pd (0.500, 0.000, 0.000)
Ga (0.500, 0.500, 0.500)
Pd (0.000, 0.000, 0.500)

## Properties
* energy above the most stable polymorph in this dataset: 602.1 meV/atom
* space group: Pm-3m
* formation energy: 179 meV/atom